First-principles (PBE) data for a relaxed BePt2Se2 crystal, as listed in Alexandria.

The structure belongs to space group I4/mmm (No. 139); the cell edges are 3.683, 3.683 and 13.472 Å and the angles 90.00°, 90.00° and 90.00°. The distinct sites, in fractional coordinates, are Be at (0.000, 0.000, 0.000), Pt at (0.000, 0.000, 0.406) and Se at (0.000, 0.500, 0.250).

Its density of states at the Fermi level is 2.82 states/eV/f.u. The calculation puts the formation energy from raw total energies at 543 meV per atom. The calculation puts the volume at 183 Å³/cell.